Record 1
## GaNi3Ru (GGA-PBE)

Data for a relaxed GaNi3Ru crystal.

```
data_GaNi3Ru
_chemical_formula_sum 'Ga1 Ni3 Ru1'
_cell_length_a 4.226
_cell_length_b 4.226
_cell_length_c 4.226
_cell_angle_alpha 90.00
_cell_angle_beta 90.00
_cell_angle_gamma 90.00
_symmetry_space_group_name_H-M 'P 1'
_symmetry_Int_Tables_number 1
loop_
_symmetry_equiv_pos_as_xyz
'x,y,z'
loop_
_atom_site_label
_atom_site_type_symbol
_atom_site_fract_x
_atom_site_fract_y
_atom_site_fract_z
Ru1 Ru 0.500 0.500 0.500
Ga1 Ga 0.000 0.000 0.000
Ni1 Ni 0.000 0.500 0.000
Ni2 Ni 0.000 0.000 0.500
Ni3 Ni 0.500 0.000 0.000
```

Values from the calculation:
Total magnetic moment, μB per cell: 3.09
Offset from the most stable computed form, meV per atom: 0
ΔH_f (0 K), eV per atom: 1.06

---

Record 2
## CrSnSb2 (GGA-PBE)

Data for a relaxed CrSnSb2 crystal.

```
data_CrSnSb2
_chemical_formula_sum 'Cr2 Sn2 Sb4'
_cell_length_a 6.438
_cell_length_b 6.438
_cell_length_c 7.888
_cell_angle_alpha 65.91
_cell_angle_beta 65.91
_cell_angle_gamma 90.00
_symmetry_space_group_name_H-M 'P 1'
_symmetry_Int_Tables_number 1
loop_
_symmetry_equiv_pos_as_xyz
'x,y,z'
loop_
_atom_site_label
_atom_site_type_symbol
_atom_site_fract_x
_atom_site_fract_y
_atom_site_fract_z
Sb1 Sb 0.600 0.125 0.250
Sb2 Sb 0.150 0.625 0.250
Sb3 Sb 0.375 0.400 0.750
Sb4 Sb 0.875 0.850 0.750
Sn1 Sn 0.000 0.000 0.000
Sn2 Sn 0.750 0.250 0.500
Cr1 Cr 0.500 0.500 0.000
Cr2 Cr 0.250 0.750 0.500
```

Values from the calculation:
Total magnetic moment, μB per cell: 7.96
ΔE_f (raw), eV/f.u.: 1.11

---

Record 3
## CsB2Rh (GGA-PBE)

Data for a relaxed CsB2Rh crystal.

```
data_CsB2Rh
_chemical_formula_sum 'Cs2 B4 Rh2'
_cell_length_a 6.411
_cell_length_b 6.411
_cell_length_c 6.422
_cell_angle_alpha 60.06
_cell_angle_beta 60.06
_cell_angle_gamma 90.00
_symmetry_space_group_name_H-M 'P 1'
_symmetry_Int_Tables_number 1
loop_
_symmetry_equiv_pos_as_xyz
'x,y,z'
loop_
_atom_site_label
_atom_site_type_symbol
_atom_site_fract_x
_atom_site_fract_y
_atom_site_fract_z
Cs1 Cs 0.000 0.000 0.000
Cs2 Cs 0.750 0.250 0.500
B1 B 0.375 0.125 0.250
B2 B 0.375 0.625 0.250
B3 B 0.375 0.625 0.750
B4 B 0.875 0.625 0.750
Rh1 Rh 0.500 0.500 0.000
Rh2 Rh 0.250 0.750 0.500
```

Values from the calculation:
Total magnetic moment, μB per cell: 0.00
Offset from the most stable computed form, meV per atom: 0
ΔH_f (0 K), eV per atom: 0.31